# Sr3Ga7Pt4 (GGA-PBE, relaxed)
# * ΔE_f: -0.726 eV/atom
# * total magnetization: 0.00 μB per formula unit
# * final energy: -121.11 eV/cell
data_Sr3Ga7Pt4
_cell_length_a 16.2465
_cell_length_b 4.4378
_cell_length_c 9.5161
_cell_angle_alpha 90.00
_cell_angle_beta 123.87
_cell_angle_gamma 90.00
_symmetry_space_group_name_H-M 'C 1 2/m 1'
_symmetry_Int_Tables_number 12
_symmetry_space_group_name_Hall '-C 2y'
loop_
_atom_site_label
_atom_site_type_symbol
_atom_site_fract_x
_atom_site_fract_y
_atom_site_fract_z
Sr1 Sr 0.0000 0.0000 0.0000
Sr2 Sr 0.1933 0.5000 0.6982
Ga1 Ga 0.0000 0.0000 0.5000
Ga2 Ga 0.0019 0.5000 0.7121
Ga3 Ga 0.1560 0.0000 0.4280
Ga4 Ga 0.1790 0.5000 0.0304
Pt1 Pt 0.1216 0.0000 0.8473
Pt2 Pt 0.1566 0.5000 0.2891



# La3O (GGA-PBE, relaxed)
# * total magnetization: 0.00 μB per formula unit
# * final energy: -48.13 eV/cell
# * energy relative to the elements, uncorrected: -1.082 eV per atom
data_La3O
_cell_length_a 3.3543
_cell_length_b 10.6989
_cell_length_c 6.2475
_cell_angle_alpha 90.00
_cell_angle_beta 90.00
_cell_angle_gamma 90.00
_symmetry_space_group_name_H-M 'I m m 2'
_symmetry_Int_Tables_number 44
_symmetry_space_group_name_Hall 'I 2 -2'
loop_
_atom_site_label
_atom_site_type_symbol
_atom_site_fract_x
_atom_site_fract_y
_atom_site_fract_z
La1 La 0.0000 0.0000 0.0000
La2 La 0.0000 0.1564 0.4894
O1 O 0.0000 0.5000 0.7984